(1)
The following is a DFT calculation (GGA-PBE) of a geometry-optimized LaFe3Mo structure.

The distance to the lowest polymorph of the same formula comes out at 1194 meV/atom. The calculation puts the density of states at the Fermi level at 1.683 states/eV per atom. Its energy relative to the elements is 1977 meV per atom.

Structure (extended XYZ):
```
5
Lattice="4.440 0.000 0.000 0.000 4.440 0.000 0.000 0.000 4.440" Properties=species:S:1:pos:R:3 pbc="T T T"
La 0.000 0.000 0.000
Mo 2.220 2.220 2.220
Fe 0.000 0.000 2.220
Fe 0.000 2.220 0.000
Fe 2.220 0.000 0.000
```

(2)
The following is a DFT calculation (GGA-PBE) of a geometry-optimized TiSiPbBr2 structure.

The calculation puts the density of states at the Fermi level at 2.452 states/eV per atom. For the raw formation energy, the calculation gives 0.901 eV per atom.

Structure (extended XYZ):
```
5
Lattice="-4.495 -2.304 2.580 0.498 -4.497 -3.149 3.421 -2.334 3.875" Properties=species:S:1:pos:R:3 pbc="T T T"
Si 0.249 -2.249 -1.574
Pb 0.000 0.000 0.000
Br -2.247 -1.152 1.290
Br 1.710 -1.167 1.938
Ti -0.288 -4.568 1.653
```

(3)
The following is a DFT calculation (GGA-PBE) of a geometry-optimized NaCdGa3 structure.

The distance to the lowest polymorph of the same formula comes out at 41 meV/atom. The calculation puts the density of states at the Fermi level at 0.401 states/eV per atom. Its energy relative to the elements is -50 meV per atom.

Structure (extended XYZ):
```
20
Lattice="-2.409 0.429 3.301 -6.526 -4.516 -4.176 4.200 -10.122 4.382" Properties=species:S:1:pos:R:3 pbc="T T T"
Cd -6.024 -7.838 0.459
Ga 0.032 -4.213 1.850
Ga -2.993 -11.880 0.640
Na -2.769 -7.973 0.295
Ga -2.661 -9.509 3.131
Ga -2.074 -4.699 0.376
Ga -0.536 -10.072 4.756
Cd -0.695 -11.713 2.295
Cd -4.041 -2.495 1.211
Na -7.286 -3.537 -1.022
Ga -4.768 -9.995 1.657
Ga -5.680 -6.132 -2.069
Ga 0.944 -8.076 5.576
Na -1.967 -6.235 3.212
Ga -4.200 -4.136 -1.249
Na 2.551 -10.671 4.529
Ga -1.743 -2.328 2.867
Ga -4.643 -5.460 1.157
Ga -0.093 -8.748 2.349
Cd 1.288 -6.370 3.048
```

(4)
The following is a DFT calculation (GGA-PBE) of a geometry-optimized Co2BHOs structure.

The calculation puts the density of states at the Fermi level at 1.889 states/eV per atom. The value obtained for the total DFT energy (no corrections) is -5.19 eV per atom.

Structure (extended XYZ):
```
5
Lattice="-4.444 0.438 -1.276 0.726 -2.162 -3.271 -1.051 -3.878 2.330" Properties=species:S:1:pos:R:3 pbc="T T T"
H -2.385 -2.801 -1.108
B 0.363 -1.081 -1.635
Co -0.525 -1.939 1.165
Os 0.000 0.000 0.000
Co -2.222 0.219 -0.638
```

(5)
The following is a DFT calculation (GGA-PBE) of a geometry-optimized Li3Sn5O12 structure.

The calculation puts the density of states at the Fermi level at 0.704 states/eV per atom. For the raw formation energy, the calculation gives -1.464 eV per atom.

Structure (extended XYZ):
```
80
Lattice="-4.069 -5.755 8.777 -5.681 -2.825 -9.298 10.899 -2.457 -1.370" Properties=species:S:1:pos:R:3 pbc="T T T"
O 4.009 -3.642 -6.504
O 0.146 -4.056 0.470
O 0.100 -4.359 -2.606
O 6.487 -2.958 -0.176
Li 2.360 -2.713 0.518
Sn 3.664 -4.034 -2.149
Sn -4.626 -4.218 -6.113
O -1.378 -6.209 -1.141
O -1.281 -5.157 -5.137
O -5.338 -8.079 -1.716
Li -6.459 -7.461 0.535
O 5.400 -4.927 -2.420
Li -3.820 -5.683 2.925
O 2.527 -4.828 -0.750
O -5.430 -7.704 2.769
O 4.930 -7.770 2.717
Li -1.546 -6.003 6.175
Sn 3.415 -4.106 3.703
Li -2.352 -4.538 -2.863
O -4.280 -3.441 -7.890
O 3.116 -7.130 -4.474
O -2.623 -8.840 -0.448
O 0.886 -1.453 -1.197
Sn 0.000 0.000 0.000
O 5.876 -6.181 0.365
O 1.264 -3.982 -6.182
O -0.115 -7.055 4.291
Sn 0.086 -2.393 -2.732
O 9.352 -3.662 -0.677
Li 1.025 -5.813 -4.539
Sn 2.733 -7.866 -2.687
O 1.049 -6.678 0.715
O 4.116 -7.518 -1.328
O 2.430 -5.880 3.246
O 0.263 -9.584 -0.695
O -2.929 -6.817 -3.627
Sn 1.063 -8.644 0.841
Li 3.501 -6.499 0.971
O -1.852 -2.119 -2.961
Sn -0.682 -3.760 -6.390
O 4.078 -4.220 1.735
O -2.860 -7.395 4.612
O 5.428 -7.596 5.999
O -3.250 -4.454 4.992
Sn -2.035 -2.877 4.389
O 3.772 -2.198 -1.443
O -8.203 -7.375 -1.215
Sn -1.584 -3.171 0.796
Li 0.124 -5.224 2.647
Li 4.969 -5.354 -4.816
O -4.727 -4.856 -2.257
Li -1.211 -8.324 -2.410
O 3.001 -8.918 1.070
O -1.352 -3.949 -8.234
Sn -4.875 -4.290 -0.261
O 1.632 -6.883 -6.817
O -0.589 -7.825 -4.749
O 4.399 -6.583 -6.884
Sn -4.789 -6.683 -2.993
Sn 0.574 -5.519 -0.946
Sn 5.938 -4.354 1.101
O -3.781 -3.267 -4.608
O -2.967 -3.519 -0.564
Sn 2.609 -2.641 -5.334
O -1.967 -3.907 2.583
O -1.810 -6.854 2.091
Sn -2.841 -1.412 -4.649
Li 7.608 -3.576 -2.426
O 1.738 -3.212 2.858
Sn 5.450 -1.229 -0.685
O -0.483 -4.154 4.925
O -4.251 -6.110 0.529
Sn 1.831 -7.278 4.499
O 1.003 -6.981 -2.361
O 2.500 -7.088 6.342
Li 2.695 -5.034 -8.067
O 2.959 -4.183 -3.983
O 6.579 -3.333 -4.660
Sn -2.515 -7.003 0.258
Sn 5.775 -6.819 4.222
```

(6)
The following is a DFT calculation (GGA-PBE) of a geometry-optimized Ac3CuSb structure.

The calculation puts the density of states at the Fermi level at 1.272 states/eV per atom. For the raw formation energy, the calculation gives -0.171 eV per atom.

Structure (extended XYZ):
```
5
Lattice="-4.755 3.136 0.849 -2.937 -4.792 1.254 1.390 0.603 5.556" Properties=species:S:1:pos:R:3 pbc="T T T"
Ac -2.377 1.568 0.424
Ac 0.695 0.301 2.778
Ac -1.469 -2.396 0.627
Sb -3.151 -0.527 3.830
Cu 0.000 0.000 0.000
```

(7)
The following is a DFT calculation (GGA-PBE) of a geometry-optimized In2Ge2S structure.

The distance to the lowest polymorph of the same formula comes out at 0 meV/atom. The calculation puts the density of states at the Fermi level at 0.480 states/eV per atom. For the raw formation energy, the calculation gives 0.153 eV per atom.

Structure (extended XYZ):
```
10
Lattice="7.240 0.000 0.000 0.000 7.240 0.000 0.000 0.000 4.399" Properties=species:S:1:pos:R:3 pbc="T T T"
In 2.366 1.253 2.200
In 1.253 4.873 2.200
In 5.986 2.366 2.200
In 4.873 5.986 2.200
Ge 2.605 6.225 0.000
Ge 6.225 4.635 0.000
Ge 4.635 1.015 0.000
S 0.000 0.000 0.000
Ge 1.015 2.605 0.000
S 3.620 3.620 0.000
```

(8)
The following is a DFT calculation (GGA-PBE) of a geometry-optimized Li2Al6Ga structure.

The calculation puts the density of states at the Fermi level at 0.369 states/eV per atom. Its energy relative to the elements is -79 meV per atom.

Structure (extended XYZ):
```
9
Lattice="-2.527 3.119 -0.994 -5.001 -3.429 1.956 3.378 1.618 5.090" Properties=species:S:1:pos:R:3 pbc="T T T"
Li -3.893 -2.487 2.094
Al -2.368 1.950 3.536
Ga -3.764 -0.155 0.481
Al -1.613 1.712 0.870
Al -2.537 -0.404 5.182
Al -4.509 0.115 3.221
Al 0.359 1.193 2.831
Al -1.782 -0.642 2.516
Li -0.257 3.795 3.958
```

no.,magnetization (Bohr magnetons per cell),V (Å³ per cell)
1,4.88,87.5
2,0.43,177.3
3,0.00,434.9
4,4.91,86.0
5,4.39,1098.0
6,0.01,191.0
7,0.00,230.6
8,0.00,148.6